Record 1
Ca10Nb5InO24 PBE optimized geometry; energy relative to the elements, uncorrected = -273 kJ/mol of atoms; total magnetization = 0.2 μB per cell
1.0
8.0874 -0.0065 -0.0076
-0.3305 8.0760 -0.0066
3.8651 4.0644 8.0907
Ca Nb In O
10 5 1 24
Direct
0.7485 0.2501 0.5054
0.0005 0.9980 0.0007
0.5984 0.1542 0.2633
0.1139 0.6642 0.2382
0.4137 0.3637 0.7449
0.9147 0.8579 0.7358
0.8932 0.3475 0.7628
0.3977 0.8447 0.7350
0.0852 0.1433 0.2646
0.5801 0.6400 0.2531
0.5037 0.0169 0.9974
0.9822 0.5042 0.0064
0.2501 0.2549 0.5051
0.7517 0.7420 0.4925
0.4857 0.5106 0.0003
0.2518 0.7502 0.4966
0.4659 0.9089 0.2379
0.9633 0.4201 0.2280
0.1690 0.2200 0.7271
0.6507 0.6859 0.7650
0.0563 0.5900 0.7582
0.5133 0.0786 0.7801
0.3540 0.3169 0.2345
0.8301 0.7691 0.2727
0.4774 0.6671 0.5600
0.0042 0.1663 0.5314
0.4280 0.7129 0.0563
0.9193 0.2441 0.0487
0.0104 0.8219 0.4578
0.5188 0.3316 0.4309
0.0925 0.7629 0.9396
0.5723 0.2756 0.9534
0.2889 0.9932 0.5407
0.7547 0.4760 0.5892
0.2315 0.0015 0.0870
0.7281 0.5317 0.0487
0.2325 0.5235 0.4281
0.7208 0.9984 0.4513
0.2856 0.4749 0.9468
0.7613 0.9868 0.9243

Record 2
CaTiNbInO6 PBE optimized geometry; energy relative to the elements, uncorrected = -236 kJ/mol of atoms; total magnetization = 0.0 μB per cell
1.0
0.0000 3.9997 3.9997
3.9997 0.0000 3.9997
3.9997 3.9997 0.0000
Ca Ti Nb In O
1 1 1 1 6
Direct
0.7500 0.7500 0.7500
0.5000 0.5000 0.5000
0.0000 0.0000 0.0000
0.2500 0.2500 0.2500
0.2523 0.7477 0.2523
0.7477 0.2523 0.7477
0.2523 0.7477 0.7477
0.7477 0.2523 0.2523
0.2523 0.2523 0.7477
0.7477 0.7477 0.2523

Record 3
CaZrNbInO6 PBE optimized geometry; energy relative to the elements, uncorrected = -243 kJ/mol of atoms; total magnetization = 0.0 μB per cell
1.0
0.0000 4.1298 4.1298
4.1298 0.0000 4.1298
4.1298 4.1298 0.0000
Ca Zr Nb In O
1 1 1 1 6
Direct
0.7500 0.7500 0.7500
0.5000 0.5000 0.5000
0.0000 0.0000 0.0000
0.2500 0.2500 0.2500
0.2441 0.7559 0.2441
0.7559 0.2441 0.7559
0.2441 0.7559 0.7559
0.7559 0.2441 0.2441
0.2441 0.2441 0.7559
0.7559 0.7559 0.2441

Record 4
CaNbInPt2 PBE optimized geometry; total magnetization = 0.0 μB per cell; ΔH_f (0 K) = 0.68 eV per formula unit
1.0
-4.1896 2.0734 1.9436
-1.6907 -4.8191 1.4965
2.3431 0.5606 4.4526
Nb Ca Pt In
1 1 2 1
Direct
0.0000 0.0000 0.0000
0.5000 0.5000 0.5000
0.0000 0.0000 0.5000
0.5000 0.0000 0.0000
0.0000 0.5000 0.0000